DFT (PBE-GGA) results for ZrIrAu2 after structural relaxation.

## Properties
D(E_F): 0.923 states/eV per atom
E_form: 0.072 eV per atom
Total magnetization: 0.000 μB/cell
Raw total energy: -0.435 Ry per atom

Cell lengths 6.027, 6.027, 6.027 Å; angles 101.49, 101.49, 126.99 degrees
Atoms (fractional coordinates):
Zr: 0.000 0.000 0.000
Zr: 0.750 0.250 0.500
Ir: 0.250 0.750 0.500
Ir: 0.500 0.500 0.000
Au: 0.141 0.625 0.016
Au: 0.375 0.391 0.516
Au: 0.609 0.125 0.984
Au: 0.875 0.859 0.484

DFT (PBE-GGA) results for Cs4K2Br after structural relaxation.

## Properties
Formation energy without anion corrections: -3.145 eV per formula unit
D(E_F): 0.697 states/eV per atom
Total magnetization: 0.000 μB/cell
Raw total energy: -0.109 Ry per atom

Cell lengths 13.306, 13.306, 13.306 Å; angles 148.78, 148.78, 44.73 degrees
Atoms (fractional coordinates):
Cs: 0.000 0.500 0.500
Cs: 0.155 0.155 0.000
Cs: 0.500 0.000 0.500
Cs: 0.845 0.845 0.000
K: 0.347 0.347 0.000
K: 0.653 0.653 0.000
Br: 0.000 0.000 0.000

DFT (PBE-GGA) results for VGe3C after structural relaxation.

## Properties
D(E_F): 1.269 states/eV per atom
E_form: 1.111 eV per atom
Total magnetization: 2.619 μB/cell
Raw total energy: -0.392 Ry per atom

Cell lengths 4.309, 4.309, 4.309 Å; angles 90.00, 90.00, 90.00 degrees
Atoms (fractional coordinates):
V: 0.000 0.000 0.000
Ge: 0.000 0.500 0.500
Ge: 0.500 0.000 0.500
Ge: 0.500 0.500 0.000
C: 0.500 0.500 0.500

DFT (PBE-GGA) results for Pa2Co2Ni after structural relaxation.

## Properties
D(E_F): 1.144 states/eV per atom
E_form: -0.348 eV per atom
Total magnetization: 0.000 μB/cell
Raw total energy: -0.599 Ry per atom

Cell lengths 5.132, 5.132, 5.132 Å; angles 137.35, 107.54, 87.88 degrees
Atoms (fractional coordinates):
Pa: 0.221 0.221 0.000
Pa: 0.779 0.779 0.000
Co: 0.206 0.500 0.706
Co: 0.794 0.500 0.294
Ni: 0.500 0.000 0.500

DFT (PBE-GGA) results for Mo2RhSe after structural relaxation.

## Properties
Formation energy without anion corrections: 1.012 eV per formula unit
D(E_F): 0.847 states/eV per atom
Total magnetization: 0.000 μB/cell
Raw total energy: -0.579 Ry per atom

Cell lengths 4.931, 4.931, 2.902 Å; angles 90.00, 90.00, 117.40 degrees
Atoms (fractional coordinates):
Mo: 0.000 0.500 0.000
Mo: 0.500 0.000 0.000
Rh: 0.000 0.000 0.500
Se: 0.500 0.500 0.500

DFT (PBE-GGA) results for RbHfGaIr2 after structural relaxation.

## Properties
D(E_F): 1.083 states/eV per atom
E_form: 2.653 eV per atom
Total magnetization: 0.000 μB/cell
Raw total energy: -0.271 Ry per atom

Cell lengths 4.847, 4.847, 4.983 Å; angles 90.00, 90.00, 90.00 degrees
Atoms (fractional coordinates):
Rb: 0.000 0.000 0.000
Hf: 0.000 0.000 0.500
Ga: 0.500 0.500 0.500
Ir: 0.000 0.500 0.000
Ir: 0.500 0.000 0.000